No. 1
Zn3BRu, optimized geometry, DFT PBE; energy relative to the lowest polymorph listed for this composition = 784 meV/atom; SG = Pm-3m (221); formation energy from the elements = 1.376 eV per atom
1.0
4.758 0.000 0.000
0.000 4.758 0.000
0.000 0.000 4.758
Zn B Ru
3 1 1
Direct
0.000 0.000 0.500
0.000 0.500 0.000
0.500 0.000 0.000
0.500 0.500 0.500
0.000 0.000 0.000

---

No. 2
HgIr2Au, optimized geometry, DFT PBE; SG = Cmmm (65); formation energy from the elements = 0.587 eV per atom
1.0
5.786 0.000 0.000
0.000 8.022 0.000
0.000 0.000 2.895
Hg Ir Au
2 4 2
Direct
0.000 0.000 0.000
0.500 0.500 0.000
0.250 0.250 0.500
0.250 0.750 0.500
0.750 0.250 0.500
0.750 0.750 0.500
0.000 0.500 0.000
0.500 0.000 0.000

---

No. 3
CuSb2Pd6, optimized geometry, DFT PBE; energy relative to the lowest polymorph listed for this composition = 143 meV/atom; SG = C2/m (12)
1.0
4.734 -3.732 0.000
4.734 3.732 0.000
-1.074 0.000 4.403
Cu Sb Pd
1 2 6
Direct
0.000 0.000 0.000
0.322 0.322 0.178
0.678 0.678 0.822
0.148 0.148 0.612
0.217 0.602 0.712
0.398 0.783 0.288
0.602 0.217 0.712
0.783 0.398 0.288
0.852 0.852 0.388

---

No. 4
LaHg2Cl, optimized geometry, DFT PBE; energy relative to the lowest polymorph listed for this composition = 349 meV/atom; SG = Fm-3m (225)
1.0
7.618 0.000 0.000
0.000 7.618 0.000
0.000 0.000 7.618
La Hg Cl
4 8 4
Direct
0.000 0.000 0.000
0.000 0.500 0.500
0.500 0.000 0.500
0.500 0.500 0.000
0.250 0.250 0.250
0.250 0.250 0.750
0.250 0.750 0.250
0.250 0.750 0.750
0.750 0.250 0.250
0.750 0.250 0.750
0.750 0.750 0.250
0.750 0.750 0.750
0.000 0.000 0.500
0.000 0.500 0.000
0.500 0.000 0.000
0.500 0.500 0.500

---

No. 5
Tm5BPb2, optimized geometry, DFT PBE; SG = Cmcm (63); formation energy from the elements = 0.069 eV per atom
1.0
2.576 -8.030 0.000
2.576 8.030 0.000
0.000 0.000 12.565
Tm B Pb
10 2 4
Direct
0.078 0.922 0.611
0.078 0.922 0.889
0.285 0.715 0.582
0.285 0.715 0.918
0.299 0.701 0.250
0.701 0.299 0.750
0.715 0.285 0.082
0.715 0.285 0.418
0.922 0.078 0.111
0.922 0.078 0.389
0.183 0.817 0.750
0.817 0.183 0.250
0.118 0.882 0.124
0.118 0.882 0.376
0.882 0.118 0.624
0.882 0.118 0.876

---

No. 6
Mn2AsAu2, optimized geometry, DFT PBE; energy relative to the lowest polymorph listed for this composition = 397 meV/atom; SG = I4/mmm (139); formation energy from the elements = 0.480 eV per atom
1.0
3.148 0.000 0.000
0.000 3.148 0.000
0.000 0.000 16.404
Mn As Au
4 2 4
Direct
0.000 0.500 0.250
0.000 0.500 0.750
0.500 0.000 0.250
0.500 0.000 0.750
0.000 0.000 0.000
0.500 0.500 0.500
0.000 0.000 0.386
0.000 0.000 0.614
0.500 0.500 0.114
0.500 0.500 0.886

---

No. 7
Zr3Ga4Rh, optimized geometry, DFT PBE; SG = Immm (71); formation energy from the elements = -0.381 eV per atom
1.0
2.979 0.000 0.000
0.000 5.481 0.000
0.000 0.000 18.219
Zr Ga Rh
6 8 2
Direct
0.000 0.000 0.000
0.000 0.500 0.243
0.000 0.500 0.757
0.500 0.000 0.257
0.500 0.000 0.743
0.500 0.500 0.500
0.000 0.246 0.381
0.000 0.246 0.619
0.000 0.754 0.381
0.000 0.754 0.619
0.500 0.254 0.119
0.500 0.254 0.881
0.500 0.746 0.119
0.500 0.746 0.881
0.000 0.000 0.500
0.500 0.500 0.000

---

No. 8
MgCo2Tc2, optimized geometry, DFT PBE; energy relative to the lowest polymorph listed for this composition = 27 meV/atom; SG = P4/mbm (127); formation energy from the elements = 0.179 eV per atom
1.0
7.346 0.000 0.000
0.000 7.346 0.000
0.000 0.000 2.598
Mg Co Tc
2 4 4
Direct
0.000 0.000 0.000
0.500 0.500 0.000
0.167 0.333 0.500
0.333 0.833 0.500
0.667 0.167 0.500
0.833 0.667 0.500
0.125 0.625 0.000
0.375 0.125 0.000
0.625 0.875 0.000
0.875 0.375 0.000

---

No. 9
RbSr2Li2, optimized geometry, DFT PBE; energy relative to the lowest polymorph listed for this composition = 29 meV/atom; SG = I4/mmm (139); formation energy from the elements = 0.139 eV per atom
1.0
4.170 0.000 0.000
0.000 4.170 0.000
0.000 0.000 26.957
Rb Sr Li
2 4 4
Direct
0.000 0.000 0.000
0.500 0.500 0.500
0.000 0.000 0.360
0.000 0.000 0.640
0.500 0.500 0.140
0.500 0.500 0.860
0.000 0.500 0.250
0.000 0.500 0.750
0.500 0.000 0.250
0.500 0.000 0.750

---

No. 10
SrPuGa2Pd2, optimized geometry, DFT PBE; SG = P-3m1 (164); formation energy from the elements = -0.602 eV per atom
1.0
4.526 0.000 0.000
-2.263 3.920 0.000
0.000 0.000 7.656
Sr Pu Ga Pd
1 1 2 2
Direct
0.000 0.000 0.000
0.000 0.000 0.500
0.333 0.667 0.285
0.667 0.333 0.715
0.333 0.667 0.706
0.667 0.333 0.294

---

No. 11
TeP, optimized geometry, DFT PBE; SG = P1 (1); uncorrected energy = -4.05 eV/atom
1.0
3.765 0.000 0.000
1.378 4.148 0.000
1.783 -0.523 6.920
Te P
2 2
Direct
0.000 0.000 0.000
0.364 0.513 0.676
0.192 0.648 0.265
0.540 0.875 0.413

---

No. 12
MgTlBr2, optimized geometry, DFT PBE; energy relative to the lowest polymorph listed for this composition = 157 meV/atom; SG = Cm (8)
1.0
13.496 0.000 0.000
0.000 3.631 0.000
-2.140 0.000 5.642
Mg Tl Br
2 2 4
Direct
0.000 0.000 0.000
0.500 0.500 0.000
0.202 0.500 0.406
0.702 0.000 0.406
0.071 0.500 0.782
0.378 0.000 0.072
0.571 0.000 0.782
0.878 0.500 0.072

---

No. 13
Re3Cl, optimized geometry, DFT PBE; energy relative to the lowest polymorph listed for this composition = 747 meV/atom; SG = R-3m (166)
1.0
8.579 0.000 0.000
-4.289 7.429 0.000
0.000 0.000 2.883
Re Cl
9 3
Direct
0.000 0.500 0.000
0.167 0.333 0.333
0.167 0.833 0.333
0.333 0.167 0.667
0.500 0.000 0.000
0.500 0.500 0.000
0.667 0.833 0.333
0.833 0.167 0.667
0.833 0.667 0.667
0.000 0.000 0.000
0.333 0.667 0.667
0.667 0.333 0.333